First-principles (PBE-GGA) data for crystalline Hf4PRh at its relaxed geometry, as listed in the Alexandria database.

Values from the calculation:
energy: -111.04 eV for the cell shown
magnetization: 0.00 μB per formula unit
N(E_F): 10.41 states/eV per cell

Cell lengths 6.3295, 6.4601, 6.1276 Å; angles 95.93, 90.00, 90.00 degrees
Element x y z (fractional)
Hf (0.1486, 0.6700, 0.1348)
Hf (0.3514, 0.1700, 0.1348)
Hf (0.6584, 0.6363, 0.3579)
Hf (0.1584, 0.8637, 0.6421)
Hf (0.8416, 0.1363, 0.3579)
Hf (0.3416, 0.3637, 0.6421)
Hf (0.6486, 0.8300, 0.8652)
Hf (0.8514, 0.3300, 0.8652)
P (0.5000, 0.5000, 0.0000)
P (0.0000, 0.0000, 0.0000)
Rh (0.0000, 0.5000, 0.5000)
Rh (0.5000, 0.0000, 0.5000)